# LiCo2O4

LiCo2O4 after structural relaxation (PBE with a Hubbard U, Alexandria via LeMat-Bulk).

Cell lengths 5.6433, 4.8569, 10.0824 Å; angles 90.00, 90.00, 90.00 degrees
With the nearest neighbours (Å) after each atom.
Sites, in units of the cell vectors:
Li (0.0000, 0.1585, 0.2500)  4 O 2.06-2.07
Li (0.0000, 0.8415, 0.7500)  4 O 2.06-2.07
Li (0.5000, 0.3415, 0.7500)  4 O 2.06-2.07
Li (0.5000, 0.6585, 0.2500)  4 O 2.06-2.07
Co (0.1253, 0.2530, 0.5037)  6 O 1.89-1.91
Co (0.1253, 0.7470, 0.0037)  6 O 1.89-1.91
Co (0.3747, 0.2470, 0.0037)  6 O 1.89-1.91
Co (0.3747, 0.7530, 0.5037)  6 O 1.89-1.91
Co (0.6253, 0.2470, 0.4963)  6 O 1.89-1.91
Co (0.6253, 0.7530, 0.9963)  6 O 1.89-1.91
Co (0.8747, 0.2530, 0.9963)  6 O 1.89-1.91
Co (0.8747, 0.7470, 0.4963)  6 O 1.89-1.91
O (0.1229, 0.4093, 0.0987)  3 Co 1.89-1.90, 1 Li 2.07
O (0.1229, 0.5907, 0.5987)  3 Co 1.89-1.90, 1 Li 2.07
O (0.1255, 0.0773, 0.9048)  3 Co 1.89-1.91, 1 Li 2.06
O (0.1255, 0.9227, 0.4048)  3 Co 1.89-1.91, 1 Li 2.06
O (0.3745, 0.4227, 0.4048)  3 Co 1.89-1.91, 1 Li 2.06
O (0.3745, 0.5773, 0.9048)  3 Co 1.89-1.91, 1 Li 2.06
O (0.3771, 0.0907, 0.5987)  3 Co 1.89-1.90, 1 Li 2.07
O (0.3771, 0.9093, 0.0987)  3 Co 1.89-1.90, 1 Li 2.07
O (0.6229, 0.0907, 0.9013)  3 Co 1.89-1.90, 1 Li 2.07
O (0.6229, 0.9093, 0.4013)  3 Co 1.89-1.90, 1 Li 2.07
O (0.6255, 0.4227, 0.0952)  3 Co 1.89-1.91, 1 Li 2.06
O (0.6255, 0.5773, 0.5952)  3 Co 1.89-1.91, 1 Li 2.06
O (0.8745, 0.0773, 0.5952)  3 Co 1.89-1.91, 1 Li 2.06
O (0.8745, 0.9227, 0.0952)  3 Co 1.89-1.91, 1 Li 2.06
O (0.8771, 0.4093, 0.4013)  3 Co 1.89-1.90, 1 Li 2.07
O (0.8771, 0.5907, 0.9013)  3 Co 1.89-1.90, 1 Li 2.07

Computed properties:
The calculation puts the total energy at -159.5 eV per cell. Its space-group type is Pbcn (60). The calculation puts the magnetic moment at 1.000 μB/f.u.